First-principles (GGA-PBE) data for a relaxed structure of Sr2SbMo, as listed in Alexandria via LeMat-Bulk.

Geometry as POSCAR:
```
Sr2SbMo
1.0
-1.956 2.693 6.014
1.956 -2.693 6.014
1.956 2.693 -6.014
Sr Sb Mo
2 1 1
direct
0.000 0.000 0.000
0.710 0.210 0.500
0.277 0.777 0.500
0.439 0.439 0.000
```

Symmetry   Imm2 (44)
E_tot   -4.3883 eV per atom
Density of states at the Fermi level   1.86 states/eV/cell



First-principles (GGA-PBE) data for a relaxed structure of MoPbCl, as listed in Alexandria via LeMat-Bulk.

Geometry as POSCAR:
```
MoPbCl
1.0
0.000 2.768 8.153
1.595 0.000 8.153
1.595 2.768 0.000
Mo Pb Cl
1 1 1
direct
0.000 0.000 0.000
0.344 0.344 0.656
0.611 0.611 0.389
```

Symmetry   Fmm2 (42)
Energy above the most stable polymorph in this dataset   0.197 eV per atom
E_tot   -5.1999 eV per atom
Density of states at the Fermi level   1.79 states/eV/cell



> What is the formula in the second record?

MoPbCl



> Which of these has the lowest E_tot?

MoPbCl